Record 1
# Si2SnGePd PBE relaxed
data_Si2SnGePd
_chemical_formula_sum 'Si2 Sn1 Ge1 Pd1'
_cell_length_a 5.0547
_cell_length_b 5.0547
_cell_length_c 5.1860
_cell_angle_alpha 90.00
_cell_angle_beta 90.00
_cell_angle_gamma 90.00
_symmetry_space_group_name_H-M 'P 4/m m m'
_symmetry_Int_Tables_number 123
_symmetry_space_group_name_Hall '-P 4 2'
loop_
_atom_site_label
_atom_site_fract_x
_atom_site_fract_y
_atom_site_fract_z
Si1 0.0000 0.5000 0.0000
Sn1 0.0000 0.0000 0.0000
Ge1 0.0000 0.0000 0.5000
Pd1 0.5000 0.5000 0.5000
# D(E_F) ... 0.586 states/eV/atom
# Total DFT energy (no corrections) ... -3.602 eV/atom
# Size of the total moment ... 0.0 Bohr magnetons per cell

=====

Record 2
# FeAu3N PBE relaxed
data_FeAu3N
_chemical_formula_sum 'Fe1 Au3 N1'
_cell_length_a 4.3533
_cell_length_b 4.3533
_cell_length_c 4.3533
_cell_angle_alpha 90.00
_cell_angle_beta 90.00
_cell_angle_gamma 90.00
_symmetry_space_group_name_H-M 'P m -3 m'
_symmetry_Int_Tables_number 221
_symmetry_space_group_name_Hall '-P 4 2 3'
loop_
_atom_site_label
_atom_site_fract_x
_atom_site_fract_y
_atom_site_fract_z
Fe1 0.0000 0.0000 0.0000
Au1 0.0000 0.5000 0.5000
N1 0.5000 0.5000 0.5000
# D(E_F) ... 1.050 states/eV/atom
# Total DFT energy (no corrections) ... -4.304 eV/atom
# Size of the total moment ... 2.9 Bohr magnetons per cell

=====

Record 3
# YFeTc PBE relaxed
data_YFeTc
_chemical_formula_sum 'Y2 Fe2 Tc2'
_cell_length_a 3.0943
_cell_length_b 3.0943
_cell_length_c 11.0412
_cell_angle_alpha 90.00
_cell_angle_beta 90.00
_cell_angle_gamma 90.00
_symmetry_space_group_name_H-M 'I 4 m m'
_symmetry_Int_Tables_number 107
_symmetry_space_group_name_Hall 'I 4 -2'
loop_
_atom_site_label
_atom_site_fract_x
_atom_site_fract_y
_atom_site_fract_z
Y1 0.0000 0.0000 0.0000
Fe1 0.0000 0.0000 0.3046
Tc1 0.0000 0.0000 0.7000
# D(E_F) ... 1.173 states/eV/atom
# ΔH_f (0 K) ... 0.538 eV/f.u.
# Total DFT energy (no corrections) ... -8.252 eV/atom
# Size of the total moment ... 2.6 Bohr magnetons per cell

=====

Record 4
# WCBr3 PBE relaxed
data_WCBr3
_chemical_formula_sum 'W1 C1 Br3'
_cell_length_a 4.7031
_cell_length_b 4.7031
_cell_length_c 4.7031
_cell_angle_alpha 90.00
_cell_angle_beta 90.00
_cell_angle_gamma 90.00
_symmetry_space_group_name_H-M 'P m -3 m'
_symmetry_Int_Tables_number 221
_symmetry_space_group_name_Hall '-P 4 2 3'
loop_
_atom_site_label
_atom_site_fract_x
_atom_site_fract_y
_atom_site_fract_z
W1 0.0000 0.0000 0.0000
C1 0.5000 0.5000 0.5000
Br1 0.0000 0.5000 0.5000
# D(E_F) ... 1.165 states/eV/atom
# Total DFT energy (no corrections) ... -3.466 eV/atom
# Size of the total moment ... 4.0 Bohr magnetons per cell